No. 1
Entry from Alexandria: a geometry-optimized LaTlP2 structure (GGA-PBEsol).

Cell: 3.9642 3.9642 6.3780 Å, 90.00 90.00 90.00°
With the nearest neighbours (Å) after each atom.
Element x y z (fractional)
P 0.0000 0.0000 0.3252  1 P 2.23
P 0.0000 0.0000 0.6748  1 P 2.23
La 0.5000 0.5000 0.5000  8 P 3.02, 2 Tl 3.19
Tl 0.5000 0.5000 0.0000  2 La 3.19, 8 P 3.49

Values from the calculation:
Space group ... P4/mmm, No. 123
ΔE to the lowest computed polymorph ... 0 kJ/mol of formula units

=====

No. 2
Entry from Alexandria: a geometry-optimized LaTlP structure (GGA-PBEsol).

Cell: 4.8955 4.8955 4.8955 Å, 60.00 60.00 60.00°
With the nearest neighbours (Å) after each atom.
Element x y z (fractional)
Tl 0.0000 0.0000 0.0000  4 P 3.00
La 0.5000 0.5000 0.5000  4 P 3.00
P 0.2500 0.2500 0.2500  4 Tl 3.00, 4 La 3.00

Values from the calculation:
Space group ... F-43m, No. 216
ΔE to the lowest computed polymorph ... 11 kJ/mol of formula units

=====

No. 3
Entry from Alexandria: a geometry-optimized LaTlP2 structure (GGA-PBEsol).

Cell: 6.4098 6.4098 6.4098 Å, 74.97 68.26 111.74°
With the nearest neighbours (Å) after each atom.
Element x y z (fractional)
Tl 0.0000 0.0000 0.0000  4 P 2.57
Tl 0.5000 0.2500 0.2500  4 P 2.57
P 0.9664 0.3414 0.1250  2 Tl 2.57
P 0.4664 0.1250 0.9086  2 Tl 2.57
P 0.5336 0.6250 0.3414  2 Tl 2.57
P 0.0336 0.9086 0.6250  2 Tl 2.57
La 0.0000 0.5000 0.5000  4 P 2.89
La 0.5000 0.7500 0.7500  4 P 2.89

Values from the calculation:
Space group ... I-42d, No. 122
ΔE to the lowest computed polymorph ... 79 kJ/mol of formula units

=====

No. 4
Entry from Alexandria: a geometry-optimized LaTlP structure (GGA-PBEsol).

Cell: 4.0912 4.0918 6.4323 Å, 108.55 108.54 90.00°
With the nearest neighbours (Å) after each atom.
Element x y z (fractional)
Tl 0.3489 0.3489 0.6978  1 P 2.67
La 0.0697 0.0697 0.1395  4 P 2.90, 1 Tl 3.21
P 0.5814 0.5814 0.1627  1 Tl 2.67, 4 La 2.90

Values from the calculation:
Space group ... I4mm, No. 107
ΔE to the lowest computed polymorph ... 0 kJ/mol of formula units

=====

No. 5
Entry from Alexandria: a geometry-optimized La3PW structure (GGA-PBEsol).

Cell: 5.4393 5.4393 5.4393 Å, 90.00 90.00 90.00°
With the nearest neighbours (Å) after each atom.
Element x y z (fractional)
La 0.5000 0.0000 0.0000  2 P 2.72
La 0.0000 0.5000 0.0000  2 P 2.72
La 0.0000 0.0000 0.5000  2 P 2.72
W 0.5000 0.5000 0.5000  12 La 3.85
P 0.0000 0.0000 0.0000  6 La 2.72

Values from the calculation:
Space group ... Pm-3m, No. 221

=====

No. 6
Entry from Alexandria: a geometry-optimized LaYP2 structure (GGA-PBEsol).

Cell: 4.0945 4.0945 7.0874 Å, 73.21 73.21 60.00°
With the nearest neighbours (Å) after each atom.
Element x y z (fractional)
P 0.7546 0.7546 0.7361  3 Y 2.84, 3 La 2.95
P 0.2454 0.2454 0.2639  3 Y 2.84, 3 La 2.95
La 0.0000 0.0000 0.0000  6 P 2.95
Y 0.5000 0.5000 0.5000  6 P 2.84

Values from the calculation:
Space group ... R-3m, No. 166
ΔE to the lowest computed polymorph ... 0 kJ/mol of formula units

=====

No. 7
Entry from Alexandria: a geometry-optimized La2YP2 structure (GGA-PBEsol).

Cell: 4.0429 7.7736 7.7736 Å, 90.00 90.00 90.00°
With the nearest neighbours (Å) after each atom.
Element x y z (fractional)
P 0.0000 0.6597 0.1597  2 Y 2.92, 6 La 2.93-3.13
P 0.0000 0.1597 0.3403  2 Y 2.92, 6 La 2.93-3.13
P 0.0000 0.3403 0.8403  2 Y 2.92, 6 La 2.93-3.13
P 0.0000 0.8403 0.6597  2 Y 2.92, 6 La 2.93-3.13
La 0.5000 0.6480 0.8520  6 P 2.93-3.13, 1 La 3.25
La 0.5000 0.8520 0.3520  6 P 2.93-3.13, 1 La 3.25
La 0.5000 0.1480 0.6480  6 P 2.93-3.13, 1 La 3.25
La 0.5000 0.3520 0.1480  6 P 2.93-3.13, 1 La 3.25
Y 0.0000 0.0000 0.0000  4 P 2.92
Y 0.0000 0.5000 0.5000  4 P 2.92

Values from the calculation:
Space group ... P4/mbm, No. 127

=====

No. 8
Entry from Alexandria: a geometry-optimized LaY2P structure (GGA-PBEsol).

Cell: 3.6415 5.2201 6.5051 Å, 113.66 106.25 90.00°
With the nearest neighbours (Å) after each atom.
Element x y z (fractional)
P 0.0000 0.5000 0.0000  4 Y 2.80
Y 0.3128 0.3128 0.6256  2 P 2.80
Y 0.6872 0.6872 0.3744  2 P 2.80
La 0.5000 0.0000 0.0000  4 P 3.18, 4 Y 3.37

Values from the calculation:
Space group ... Immm, No. 71
ΔE to the lowest computed polymorph ... 38 kJ/mol of formula units

=====

No. 9
Entry from Alexandria: a geometry-optimized LaY2P structure (GGA-PBEsol).

Cell: 3.7782 3.7782 9.5293 Å, 78.57 78.57 60.00°
With the nearest neighbours (Å) after each atom.
Element x y z (fractional)
Y 0.2753 0.2753 0.1742  3 P 2.71
Y 0.7247 0.7247 0.8258  3 P 2.71
P 0.0000 0.0000 0.0000  6 Y 2.71
La 0.5000 0.5000 0.5000  6 Y 3.73, 6 La 3.78

Values from the calculation:
Space group ... R-3m, No. 166
ΔE to the lowest computed polymorph ... 0 kJ/mol of formula units

=====

No. 10
Entry from Alexandria: a geometry-optimized LaY2P structure (GGA-PBEsol).

Cell: 5.1970 5.1970 5.1970 Å, 60.00 60.00 60.00°
With the nearest neighbours (Å) after each atom.
Element x y z (fractional)
Y 0.7500 0.7500 0.7500  4 La 3.18, 4 Y 3.18
Y 0.0000 0.0000 0.0000  4 Y 3.18, 4 P 3.18
P 0.2500 0.2500 0.2500  4 Y 3.18, 4 La 3.18
La 0.5000 0.5000 0.5000  4 P 3.18, 4 Y 3.18

Values from the calculation:
Space group ... F-43m, No. 216
ΔE to the lowest computed polymorph ... 235 kJ/mol of formula units

=====

No. 11
Entry from Alexandria: a geometry-optimized LaYP2 structure (GGA-PBEsol).

Cell: 4.1057 4.1057 5.7876 Å, 90.00 90.00 90.00°
With the nearest neighbours (Å) after each atom.
Element x y z (fractional)
Y 0.0000 0.0000 0.0000  6 P 2.89-2.90
La 0.5000 0.5000 0.5000  6 P 2.89-2.90
P 0.5000 0.5000 0.0000  2 La 2.89, 4 Y 2.90
P 0.0000 0.0000 0.5000  2 Y 2.89, 4 La 2.90

Values from the calculation:
Space group ... P4/mmm, No. 123
ΔE to the lowest computed polymorph ... 13 kJ/mol of formula units

=====

No. 12
Entry from Alexandria: a geometry-optimized LaY2P structure (GGA-PBEsol).

Cell: 4.3850 4.4026 6.2590 Å, 110.44 110.36 90.39°
With the nearest neighbours (Å) after each atom.
Element x y z (fractional)
Y 0.0000 0.5000 0.5000  4 Y 3.10-3.12, 2 La 3.13, 2 P 3.13
Y 0.5000 0.0000 0.5000  4 Y 3.10-3.12, 2 P 3.13, 2 La 3.13
La 0.0000 0.0000 0.0000  4 P 3.10-3.12, 4 Y 3.13
P 0.5000 0.5000 0.0000  4 La 3.10-3.12, 4 Y 3.13

Values from the calculation:
Space group ... C2/m, No. 12
ΔE to the lowest computed polymorph ... 193 kJ/mol of formula units

=====

Sequential D(E_F) output: 2.5; 3.4; 0.7; 1.9; 6.5; 0.4; 8.2; 4.5; 3.4; 4.2; 0.4; 4.5 states/eV/cell
Sequential total DFT energy (no corrections) output: -5.4981; -5.1192; -5.2942; -5.1558; -6.6104; -7.5291; -7.0998; -6.8456; -6.9440; -6.3346; -7.4945; -6.4443 eV/atom